{"formula": "KNiAs3F18", "functional": "GGA+U", "state": "relaxed", "dos_ef_per_ev_cell": 0.00, "space_group": "Pnma", "magmom_total_mub_per_cell": 8.1, "e_tot_ev_per_atom": -4.443, "lattice_angstrom": [[-6.761, 6.782, 0.737], [-4.006, -2.993, -9.208], [-8.335, -9.023, 6.559]], "species": ["K", "K", "K", "K", "Ni", "Ni", "Ni", "Ni", "As", "As", "As", "As", "As", "As", "As", "As", "As", "As", "As", "As", "F", "F", "F", "F", "F", "F", "F", "F", "F", "F", "F", "F", "F", "F", "F", "F", "F", "F", "F", "F", "F", "F", "F", "F", "F", "F", "F", "F", "F", "F", "F", "F", "F", "F", "F", "F", "F", "F", "F", "F", "F", "F", "F", "F", "F", "F", "F", "F", "F", "F", "F", "F", "F", "F", "F", "F", "F", "F", "F", "F", "F", "F", "F", "F", "F", "F", "F", "F", "F", "F", "F", "F"], "frac_coords": [[0.990, 0.578, 0.250], [0.010, 0.422, 0.750], [0.510, 0.078, 0.250], [0.490, 0.922, 0.750], [0.500, 0.500, 0.000], [0.000, 0.000, 0.000], [0.500, 0.500, 0.500], [0.000, 0.000, 0.500], [0.802, 0.296, 0.052], [0.198, 0.704, 0.552], [0.302, 0.204, 0.552], [0.302, 0.204, 0.948], [0.198, 0.704, 0.948], [0.698, 0.796, 0.448], [0.883, 0.016, 0.750], [0.698, 0.796, 0.052], [0.117, 0.984, 0.250], [0.617, 0.516, 0.750], [0.802, 0.296, 0.448], [0.383, 0.484, 0.250], [0.783, 0.586, 0.750], [0.563, 0.674, 0.453], [0.119, 0.982, 0.381], [0.295, 0.782, 0.036], [0.898, 0.374, 0.359], [0.937, 0.174, 0.453], [0.831, 0.920, 0.436], [0.881, 0.018, 0.619], [0.888, 0.385, 0.964], [0.217, 0.414, 0.250], [0.388, 0.115, 0.036], [0.831, 0.920, 0.064], [0.803, 0.866, 0.750], [0.542, 0.669, 0.750], [0.452, 0.447, 0.750], [0.602, 0.874, 0.141], [0.881, 0.018, 0.881], [0.717, 0.086, 0.750], [0.888, 0.385, 0.536], [0.205, 0.282, 0.464], [0.952, 0.053, 0.250], [0.715, 0.207, 0.359], [0.715, 0.207, 0.141], [0.669, 0.420, 0.436], [0.112, 0.615, 0.036], [0.697, 0.366, 0.750], [0.063, 0.826, 0.547], [0.437, 0.326, 0.953], [0.295, 0.782, 0.464], [0.381, 0.482, 0.381], [0.388, 0.115, 0.464], [0.381, 0.482, 0.119], [0.102, 0.626, 0.859], [0.705, 0.218, 0.536], [0.958, 0.169, 0.750], [0.602, 0.874, 0.359], [0.169, 0.080, 0.564], [0.548, 0.553, 0.250], [0.042, 0.831, 0.250], [0.612, 0.885, 0.964], [0.563, 0.674, 0.047], [0.937, 0.174, 0.047], [0.285, 0.793, 0.641], [0.619, 0.518, 0.619], [0.398, 0.126, 0.859], [0.215, 0.293, 0.641], [0.331, 0.580, 0.936], [0.795, 0.718, 0.536], [0.795, 0.718, 0.964], [0.283, 0.914, 0.250], [0.331, 0.580, 0.564], [0.215, 0.293, 0.859], [0.398, 0.126, 0.641], [0.619, 0.518, 0.881], [0.285, 0.793, 0.859], [0.898, 0.374, 0.141], [0.205, 0.282, 0.036], [0.612, 0.885, 0.536], [0.303, 0.634, 0.250], [0.169, 0.080, 0.936], [0.458, 0.331, 0.250], [0.705, 0.218, 0.964], [0.102, 0.626, 0.641], [0.785, 0.707, 0.359], [0.048, 0.947, 0.750], [0.119, 0.982, 0.119], [0.669, 0.420, 0.064], [0.785, 0.707, 0.141], [0.437, 0.326, 0.547], [0.112, 0.615, 0.464], [0.197, 0.134, 0.250], [0.063, 0.826, 0.953]]}